(1)
This record from Alexandria via LeMat-Bulk describes a relaxed structure of NdNpP2O8. The functional is PBE.

Values from the calculation:
- ΔE_f (raw) (kJ per mole of atoms) = -256.1
- space group = P-3m1, No. 164

a = 5.3213 Å, b = 5.3213 Å, c = 7.3484 Å
α = 90.00°, β = 90.00°, γ = 120.00°
Atoms (fractional coordinates):
Nd 0.0000 0.0000 0.0000
Np 0.0000 0.0000 0.5000
P 0.3333 0.6667 0.8057
P 0.6667 0.3333 0.1943
O 0.1746 0.3491 0.7328
O 0.1746 0.8254 0.7328
O 0.3333 0.6667 0.0134
O 0.3491 0.1746 0.2672
O 0.6509 0.8254 0.7328
O 0.6667 0.3333 0.9866
O 0.8254 0.1746 0.2672
O 0.8254 0.6509 0.2672

---

(2)
This record from Alexandria via LeMat-Bulk describes a relaxed structure of NdNpPaO6. The functional is PBE.

Values from the calculation:
- ΔE_f (raw) (kJ per mole of atoms) = -310.3
- space group = P312, No. 149

a = 5.8563 Å, b = 5.8563 Å, c = 4.7703 Å
α = 90.00°, β = 90.00°, γ = 120.00°
Atoms (fractional coordinates):
Nd 0.0000 0.0000 0.0000
Np 0.3333 0.6667 0.0000
Pa 0.6667 0.3333 0.5000
O 0.3585 0.0056 0.2456
O 0.3585 0.3528 0.7544
O 0.6472 0.0056 0.7544
O 0.6472 0.6415 0.2456
O 0.9944 0.3528 0.2456
O 0.9944 0.6415 0.7544

---

(3)
This record from Alexandria via LeMat-Bulk describes a relaxed structure of NdNpPb2O8. The functional is PBE.

Values from the calculation:
- ΔE_f (raw) (kJ per mole of atoms) = -195.8
- space group = Cmmm, No. 65

a = 5.2356 Å, b = 5.2356 Å, c = 7.1072 Å
α = 90.00°, β = 90.00°, γ = 90.31°
Atoms (fractional coordinates):
Nd 0.0000 0.0000 0.0000
Np 0.0000 0.0000 0.5000
Pb 0.5000 0.5000 0.2508
Pb 0.5000 0.5000 0.7492
O 0.1788 0.8212 0.2837
O 0.1788 0.8212 0.7163
O 0.2870 0.2870 0.5000
O 0.3156 0.3156 0.0000
O 0.6844 0.6844 0.0000
O 0.7130 0.7130 0.5000
O 0.8212 0.1788 0.2837
O 0.8212 0.1788 0.7163

---

(4)
This record from Alexandria via LeMat-Bulk describes a relaxed structure of Pm2NdNpO8. The functional is PBE.

Values from the calculation:
- ΔE_f (raw) (kJ per mole of atoms) = -301.8
- space group = P2/m, No. 10

a = 3.9793 Å, b = 7.6135 Å, c = 5.5431 Å
α = 90.00°, β = 94.59°, γ = 90.00°
Atoms (fractional coordinates):
Pm 0.0000 0.2439 0.0000
Pm 0.0000 0.7561 0.0000
Nd 0.5000 0.0000 0.5000
Np 0.5000 0.5000 0.5000
O 0.0068 0.0000 0.7549
O 0.0556 0.5000 0.2835
O 0.4672 0.2841 0.7332
O 0.4672 0.7159 0.7332
O 0.5328 0.2841 0.2668
O 0.5328 0.7159 0.2668
O 0.9444 0.5000 0.7165
O 0.9932 0.0000 0.2451

---

(5)
This record from Alexandria via LeMat-Bulk describes a relaxed structure of PrNdNpO6. The functional is PBE.

Values from the calculation:
- ΔE_f (raw) (kJ per mole of atoms) = -299.9
- space group = P-31c, No. 163

a = 5.9445 Å, b = 5.9445 Å, c = 9.6545 Å
α = 90.00°, β = 90.00°, γ = 120.00°
Atoms (fractional coordinates):
Pr 0.0000 0.0000 0.0000
Pr 0.0000 0.0000 0.5000
Nd 0.3333 0.6667 0.2500
Nd 0.6667 0.3333 0.7500
Np 0.3333 0.6667 0.7500
Np 0.6667 0.3333 0.2500
O 0.0374 0.3685 0.6353
O 0.0374 0.6689 0.8647
O 0.3311 0.3685 0.8647
O 0.3311 0.9626 0.6353
O 0.3685 0.0374 0.1353
O 0.3685 0.3311 0.3647
O 0.6315 0.6689 0.6353
O 0.6315 0.9626 0.8647
O 0.6689 0.0374 0.3647
O 0.6689 0.6315 0.1353
O 0.9626 0.3311 0.1353
O 0.9626 0.6315 0.3647

---

(6)
This record from Alexandria via LeMat-Bulk describes a relaxed structure of NdPuNpO6. The functional is PBE.

Values from the calculation:
- ΔE_f (raw) (kJ per mole of atoms) = -289.3
- space group = P-31c, No. 163

a = 5.8932 Å, b = 5.8932 Å, c = 9.2623 Å
α = 90.00°, β = 90.00°, γ = 120.00°
Atoms (fractional coordinates):
Nd 0.3333 0.6667 0.2500
Nd 0.6667 0.3333 0.7500
Pu 0.0000 0.0000 0.0000
Pu 0.0000 0.0000 0.5000
Np 0.3333 0.6667 0.7500
Np 0.6667 0.3333 0.2500
O 0.0343 0.3525 0.6295
O 0.0343 0.6818 0.8705
O 0.3182 0.3525 0.8705
O 0.3182 0.9657 0.6295
O 0.3525 0.0343 0.1295
O 0.3525 0.3182 0.3705
O 0.6475 0.6818 0.6295
O 0.6475 0.9657 0.8705
O 0.6818 0.0343 0.3705
O 0.6818 0.6475 0.1295
O 0.9657 0.3182 0.1295
O 0.9657 0.6475 0.3705